Entry 1:
A plane-wave DFT calculation with PBE-GGA was carried out for crystalline Sr2PbO at its relaxed geometry.

Unit cell a=6.9845 b=6.9845 c=6.9845 alpha=115.76 beta=115.76 gamma=97.52
Last column: nearest neighbours and their distance in Å.
Fractional positions:
Sr: 0.0042 0.6250 0.8792  2 O 2.39
Sr: 0.3750 0.2542 0.3792  2 O 2.39
Sr: 0.7458 0.1250 0.1208  2 O 2.39
Sr: 0.8750 0.9958 0.6208  2 O 2.39
Pb: 0.2500 0.7500 0.5000  4 Sr 3.52
Pb: 0.5000 0.5000 0.0000  4 Sr 3.52
O: 0.0000 0.0000 0.0000  4 Sr 2.39
O: 0.7500 0.2500 0.5000  4 Sr 2.39

Properties
Magnetization = 0.000 μB/f.u.
SG = I-42d (122)
Energy above the most stable polymorph in this dataset = 0 meV per atom
N(E_F) = 0.24 states/eV/f.u.
Formation energy (no corrections) = -138.80 kJ/mol of atoms
E_tot = -4.446 eV per atom

***

Entry 2:
A plane-wave DFT calculation with PBE-GGA was carried out for crystalline Sr2PbO at its relaxed geometry.

Unit cell a=3.3934 b=3.3934 c=8.2560 alpha=90.00 beta=90.00 gamma=90.00
Last column: nearest neighbours and their distance in Å.
Fractional positions:
Sr: 0.0000 0.0000 0.1880  4 O 2.86, 1 Sr 3.10
Sr: 0.0000 0.0000 0.8120  4 O 2.86, 1 Sr 3.10
Pb: 0.5000 0.5000 0.5000  4 Pb 3.39, 8 Sr 3.52
O: 0.5000 0.5000 0.0000  8 Sr 2.86

Properties
Magnetization = 0.000 μB/f.u.
SG = P4/mmm (123)
Energy above the most stable polymorph in this dataset = 184 meV per atom
N(E_F) = 0.78 states/eV/f.u.
Formation energy (no corrections) = -121.05 kJ/mol of atoms
E_tot = -4.262 eV per atom

***

Entry 3:
A plane-wave DFT calculation with PBE-GGA was carried out for crystalline Sr5PbO6 at its relaxed geometry.

Unit cell a=6.3858 b=6.3858 c=6.3828 alpha=99.60 beta=99.60 gamma=120.00
Last column: nearest neighbours and their distance in Å.
Fractional positions:
Sr: 0.0000 0.0000 0.0000  6 O 2.55-2.61
Sr: 0.1671 0.8329 0.5000  6 O 2.60-2.61
Sr: 0.3350 0.6650 0.0000  6 O 2.57-2.61
Sr: 0.6650 0.3350 0.0000  6 O 2.57-2.61
Sr: 0.8329 0.1671 0.5000  6 O 2.60-2.61
Pb: 0.5000 0.5000 0.5000  6 O 2.66
O: 0.0744 0.4154 0.2459  5 Sr 2.57-2.61, 1 Pb 2.66
O: 0.2440 0.2440 0.7551  5 Sr 2.55-2.61, 1 Pb 2.66
O: 0.4154 0.0744 0.2459  5 Sr 2.57-2.61, 1 Pb 2.66
O: 0.5846 0.9256 0.7541  5 Sr 2.57-2.61, 1 Pb 2.66
O: 0.7560 0.7560 0.2449  5 Sr 2.55-2.61, 1 Pb 2.66
O: 0.9256 0.5846 0.7541  5 Sr 2.57-2.61, 1 Pb 2.66

Properties
Magnetization = 0.000 μB/f.u.
SG = C2/m (12)
N(E_F) = 0.00 states/eV/f.u.
Formation energy (no corrections) = -236.99 kJ/mol of atoms
E_tot = -5.945 eV per atom

***

Entry 4:
A plane-wave DFT calculation with PBE-GGA was carried out for crystalline Sr7Pb3O2 at its relaxed geometry.

Unit cell a=13.5471 b=13.5471 c=5.1158 alpha=90.00 beta=90.00 gamma=157.63
Last column: nearest neighbours and their distance in Å.
Fractional positions:
Sr: 0.0000 0.0000 0.0000  2 O 2.61
Sr: 0.0975 0.9025 0.5000  2 O 2.56
Sr: 0.2000 0.8000 0.0000  1 O 2.70
Sr: 0.4000 0.6000 0.0000  2 O 2.63
Sr: 0.6000 0.4000 0.0000  2 O 2.63
Sr: 0.8000 0.2000 0.0000  1 O 2.70
Sr: 0.9025 0.0975 0.5000  2 O 2.56
Pb: 0.3068 0.6932 0.5000  10 Sr 3.56-3.82
Pb: 0.5000 0.5000 0.5000  12 Sr 3.67-3.69
Pb: 0.6932 0.3068 0.5000  10 Sr 3.56-3.82
O: 0.0984 0.9016 0.0000  6 Sr 2.56-2.70
O: 0.9016 0.0984 0.0000  6 Sr 2.56-2.70

Properties
Magnetization = 0.000 μB/f.u.
SG = Cmmm (65)
N(E_F) = 5.23 states/eV/f.u.
Formation energy (no corrections) = -119.33 kJ/mol of atoms
E_tot = -3.971 eV per atom

***

Entry 5:
A plane-wave DFT calculation with PBE-GGA was carried out for crystalline Sr5PbO8 at its relaxed geometry.

Unit cell a=6.5594 b=6.5594 c=6.5594 alpha=111.13 beta=111.13 gamma=106.20
Last column: nearest neighbours and their distance in Å.
Fractional positions:
Sr: 0.0000 0.0000 0.0000  8 O 2.60-2.83
Sr: 0.2511 0.6232 0.1248  6 O 2.46-2.68
Sr: 0.3768 0.5016 0.6280  6 O 2.46-2.68
Sr: 0.4984 0.1263 0.8752  6 O 2.46-2.68
Sr: 0.8737 0.7489 0.3720  6 O 2.46-2.68
Pb: 0.7500 0.2500 0.5000  4 O 2.25
O: 0.0873 0.2278 0.7255  1 Pb 2.25, 1 Sr 2.50
O: 0.1276 0.7191 0.7319  4 Sr 2.46-2.62, 1 O 2.61, 1 Pb 2.75
O: 0.2809 0.0128 0.4086  4 Sr 2.46-2.62, 1 O 2.61, 1 Pb 2.75
O: 0.5023 0.3618 0.2745  1 Pb 2.25, 1 Sr 2.50
O: 0.6042 0.8724 0.5914  4 Sr 2.46-2.62, 1 O 2.61, 1 Pb 2.75
O: 0.6382 0.9127 0.1405  1 Pb 2.25, 1 Sr 2.50
O: 0.7722 0.4977 0.8595  1 Pb 2.25, 1 Sr 2.50
O: 0.9872 0.3958 0.2681  4 Sr 2.46-2.62, 1 O 2.61, 1 Pb 2.75

Properties
Magnetization = 2.053 μB/f.u.
SG = I-4 (82)
N(E_F) = 1.83 states/eV/f.u.
Formation energy (no corrections) = -195.57 kJ/mol of atoms
E_tot = -5.726 eV per atom

***

Entry 6:
A plane-wave DFT calculation with PBE-GGA was carried out for crystalline SrPb2O at its relaxed geometry.

Unit cell a=7.2599 b=7.2599 c=7.2599 alpha=96.42 beta=96.42 gamma=140.94
Last column: nearest neighbours and their distance in Å.
Fractional positions:
Sr: 0.0000 0.0000 0.0000  2 O 2.43
Sr: 0.7500 0.2500 0.5000  2 O 2.43
Pb: 0.2373 0.6250 0.1123  2 O 2.83
Pb: 0.3750 0.4873 0.6123  2 O 2.83
Pb: 0.5127 0.1250 0.8877  2 O 2.83
Pb: 0.8750 0.7627 0.3877  2 O 2.83
O: 0.2500 0.7500 0.5000  2 Sr 2.43
O: 0.5000 0.5000 0.0000  2 Sr 2.43

Properties
Magnetization = 0.000 μB/f.u.
SG = I-42d (122)
N(E_F) = 0.72 states/eV/f.u.
Formation energy (no corrections) = -70.64 kJ/mol of atoms
E_tot = -4.246 eV per atom

***

Entry 7:
A plane-wave DFT calculation with PBE-GGA was carried out for crystalline Sr6PbO8 at its relaxed geometry.

Unit cell a=7.2844 b=7.2844 c=7.2844 alpha=60.00 beta=60.00 gamma=60.00
Last column: nearest neighbours and their distance in Å.
Fractional positions:
Sr: 0.0000 0.0000 0.5000  6 O 2.58-2.59
Sr: 0.0000 0.5000 0.0000  6 O 2.58-2.59
Sr: 0.0000 0.5000 0.5000  6 O 2.58-2.59
Sr: 0.5000 0.0000 0.0000  6 O 2.58-2.59
Sr: 0.5000 0.0000 0.5000  6 O 2.58-2.59
Sr: 0.5000 0.5000 0.0000  6 O 2.58-2.59
Pb: 0.0000 0.0000 0.0000  6 O 2.27
O: 0.2205 0.2205 0.7795  1 Pb 2.27
O: 0.2205 0.7795 0.2205  1 Pb 2.27
O: 0.2205 0.7795 0.7795  1 Pb 2.27
O: 0.2500 0.2500 0.2500  6 Sr 2.58
O: 0.7500 0.7500 0.7500  6 Sr 2.58
O: 0.7795 0.2205 0.2205  1 Pb 2.27
O: 0.7795 0.2205 0.7795  1 Pb 2.27
O: 0.7795 0.7795 0.2205  1 Pb 2.27

Properties
Magnetization = 0.000 μB/f.u.
SG = Fm-3m (225)
N(E_F) = 0.00 states/eV/f.u.
Formation energy (no corrections) = -233.07 kJ/mol of atoms
E_tot = -5.980 eV per atom

***

Entry 8:
A plane-wave DFT calculation with PBE-GGA was carried out for crystalline Sr2PbO3 at its relaxed geometry.

Unit cell a=6.4053 b=6.4053 c=6.4053 alpha=146.44 beta=132.08 gamma=59.77
Last column: nearest neighbours and their distance in Å.
Fractional positions:
Sr: 0.1654 0.1654 0.0000  6 O 2.56-2.61
Sr: 0.8346 0.8346 0.0000  6 O 2.56-2.61
Pb: 0.5000 0.5000 0.0000  6 O 2.60-2.68
O: 0.0000 0.5000 0.5000  2 Pb 2.60, 4 Sr 2.61
O: 0.3252 0.8252 0.5000  4 Sr 2.56-2.60, 2 Pb 2.68
O: 0.6748 0.1748 0.5000  4 Sr 2.56-2.60, 2 Pb 2.68

Properties
Magnetization = 0.000 μB/f.u.
SG = Immm (71)
Energy above the most stable polymorph in this dataset = 0 meV per atom
N(E_F) = 0.00 states/eV/f.u.
Formation energy (no corrections) = -209.37 kJ/mol of atoms
E_tot = -5.828 eV per atom

***

Entry 9:
A plane-wave DFT calculation with PBE-GGA was carried out for crystalline Sr9Pb3O2 at its relaxed geometry.

Unit cell a=7.4882 b=7.4882 c=9.1768 alpha=90.00 beta=90.00 gamma=120.00
Last column: nearest neighbours and their distance in Å.
Fractional positions:
Sr: 0.0000 0.5000 0.0000  2 O 2.63
Sr: 0.1711 0.3421 0.6732  1 O 2.58
Sr: 0.1711 0.8289 0.6732  1 O 2.58
Sr: 0.3421 0.1711 0.3268  1 O 2.58
Sr: 0.5000 0.0000 0.0000  2 O 2.63
Sr: 0.5000 0.5000 0.0000  2 O 2.63
Sr: 0.6579 0.8289 0.6732  1 O 2.58
Sr: 0.8289 0.1711 0.3268  1 O 2.58
Sr: 0.8289 0.6579 0.3268  1 O 2.58
Pb: 0.0000 0.0000 0.0000  12 Sr 3.73-3.74
Pb: 0.3333 0.6667 0.3327  12 Sr 3.74-3.77
Pb: 0.6667 0.3333 0.6673  12 Sr 3.74-3.77
O: 0.3333 0.6667 0.8367  6 Sr 2.58-2.63
O: 0.6667 0.3333 0.1633  6 Sr 2.58-2.63

Properties
Magnetization = 0.000 μB/f.u.
SG = P-3m1 (164)
N(E_F) = 4.23 states/eV/f.u.
Formation energy (no corrections) = -107.98 kJ/mol of atoms
E_tot = -3.703 eV per atom

***

Entry 10:
A plane-wave DFT calculation with PBE-GGA was carried out for crystalline SrTaPb2O6 at its relaxed geometry.

Unit cell a=5.8280 b=6.2100 c=10.3153 alpha=90.00 beta=123.77 gamma=90.00
Last column: nearest neighbours and their distance in Å.
Fractional positions:
Sr: 0.0000 0.0000 0.0000  6 O 2.47-2.57
Sr: 0.0000 0.5000 0.5000  6 O 2.47-2.57
Ta: 0.5000 0.0000 0.5000  6 O 2.01-2.04
Ta: 0.5000 0.5000 0.0000  6 O 2.01-2.04
Pb: 0.2307 0.0358 0.7383  4 O 2.34-2.60
Pb: 0.2307 0.4642 0.2383  4 O 2.34-2.60
Pb: 0.7693 0.5358 0.7617  4 O 2.34-2.60
Pb: 0.7693 0.9642 0.2617  4 O 2.34-2.60
O: 0.1626 0.1589 0.4539  1 Ta 2.01
O: 0.1626 0.3411 0.9539  1 Ta 2.01
O: 0.2734 0.7276 0.4224  1 Ta 2.02
O: 0.2734 0.7724 0.9224  1 Ta 2.02
O: 0.4039 0.0687 0.2816  1 Ta 2.04
O: 0.4039 0.4313 0.7816  1 Ta 2.04
O: 0.5961 0.5687 0.2184  1 Ta 2.04
O: 0.5961 0.9313 0.7184  1 Ta 2.04
O: 0.7266 0.2276 0.0776  1 Ta 2.02
O: 0.7266 0.2724 0.5776  1 Ta 2.02
O: 0.8374 0.6589 0.0461  1 Ta 2.01
O: 0.8374 0.8411 0.5461  1 Ta 2.01

Properties
Magnetization = 0.000 μB/f.u.
SG = P2_1/c (14)
N(E_F) = 4.86 states/eV/f.u.
Formation energy (no corrections) = -196.30 kJ/mol of atoms
E_tot = -7.105 eV per atom